[1]
# Na2TcB2O6, optimized geometry, DFT PBE
# uncorrected formation energy = -1.9284 eV/atom
# E_tot = -7.029 eV/atom
data_Na2TcB2O6
_chemical_formula_sum 'Na2 Tc1 B2 O6'
_symmetry_space_group_name_H-M 'P -3'
_symmetry_Int_Tables_number 147
_symmetry_space_group_name_Hall '-P 3'
_cell_length_a 5.0696
_cell_length_b 5.0696
_cell_length_c 5.9728
_cell_angle_alpha 90.00
_cell_angle_beta 90.00
_cell_angle_gamma 120.00
loop_
_atom_site_label
_atom_site_type_symbol
_atom_site_fract_x
_atom_site_fract_y
_atom_site_fract_z
Na1 Na 0.3333 0.6667 0.3399
Tc1 Tc 0.0000 0.0000 0.0000
B1 B 0.3333 0.6667 0.8164
O1 O 0.0994 0.7324 0.8029

***

[2]
# NaTcBO5, optimized geometry, DFT PBE
# uncorrected formation energy = -1.6890 eV/atom
# E_tot = -7.083 eV/atom
data_NaTcBO5
_chemical_formula_sum 'Na4 Tc4 B4 O20'
_symmetry_space_group_name_H-M 'C 1 2/c 1'
_symmetry_Int_Tables_number 15
_symmetry_space_group_name_Hall '-C 2yc'
_cell_length_a 6.4093
_cell_length_b 8.2557
_cell_length_c 7.1535
_cell_angle_alpha 90.00
_cell_angle_beta 116.49
_cell_angle_gamma 90.00
loop_
_atom_site_label
_atom_site_type_symbol
_atom_site_fract_x
_atom_site_fract_y
_atom_site_fract_z
Na1 Na 0.0000 0.1608 0.2500
Tc1 Tc 0.0000 0.5000 0.0000
B1 B 0.0000 0.1872 0.7500
O1 O 0.0000 0.4287 0.2500
O2 O 0.0954 0.2889 0.6341
O3 O 0.1824 0.0766 0.8997

***

[3]
# NaTcB2O6, optimized geometry, DFT PBE
# uncorrected formation energy = -1.9185 eV/atom
# E_tot = -7.397 eV/atom
data_NaTcB2O6
_chemical_formula_sum 'Na3 Tc3 B6 O18'
_symmetry_space_group_name_H-M 'R -3'
_symmetry_Int_Tables_number 148
_symmetry_space_group_name_Hall '-R 3'
_cell_length_a 4.9003
_cell_length_b 4.9003
_cell_length_c 15.9436
_cell_angle_alpha 90.00
_cell_angle_beta 90.00
_cell_angle_gamma 120.00
loop_
_atom_site_label
_atom_site_type_symbol
_atom_site_fract_x
_atom_site_fract_y
_atom_site_fract_z
Na1 Na 0.0000 0.0000 0.0000
Tc1 Tc 0.0000 0.0000 0.5000
B1 B 0.0000 0.0000 0.2359
O1 O 0.0294 0.6161 0.9044

***

[4]
# NaB2TeO8, optimized geometry, DFT PBE
# uncorrected formation energy = -1.2486 eV/atom
# E_tot = -6.039 eV/atom
data_NaB2TeO8
_chemical_formula_sum 'Na2 B4 Te2 O16'
_symmetry_space_group_name_H-M 'C 1 2/m 1'
_symmetry_Int_Tables_number 12
_symmetry_space_group_name_Hall '-C 2y'
_cell_length_a 7.7199
_cell_length_b 5.1023
_cell_length_c 7.1049
_cell_angle_alpha 90.00
_cell_angle_beta 90.99
_cell_angle_gamma 90.00
loop_
_atom_site_label
_atom_site_type_symbol
_atom_site_fract_x
_atom_site_fract_y
_atom_site_fract_z
Na1 Na 0.0000 0.0000 0.0000
B1 B 0.1302 0.5000 0.2995
Te1 Te 0.0000 0.0000 0.5000
O1 O 0.0216 0.2599 0.2983
O2 O 0.2087 0.5000 0.1178
O3 O 0.2492 0.5000 0.4644

***

What did the first record say?
# Na2TcB2O6, optimized geometry, DFT PBE
# uncorrected formation energy = -1.9284 eV/atom
# E_tot = -7.029 eV/atom
data_Na2TcB2O6
_chemical_formula_sum 'Na2 Tc1 B2 O6'
_symmetry_space_group_name_H-M 'P -3'
_symmetry_Int_Tables_number 147
_symmetry_space_group_name_Hall '-P 3'
_cell_length_a 5.0696
_cell_length_b 5.0696
_cell_length_c 5.9728
_cell_angle_alpha 90.00
_cell_angle_beta 90.00
_cell_angle_gamma 120.00
loop_
_atom_site_label
_atom_site_type_symbol
_atom_site_fract_x
_atom_site_fract_y
_atom_site_fract_z
Na1 Na 0.3333 0.6667 0.3399
Tc1 Tc 0.0000 0.0000 0.0000
B1 B 0.3333 0.6667 0.8164
O1 O 0.0994 0.7324 0.8029

***

- The lowest E_tot belongs to which entry?
  NaTcB2O6

***

- Which of these has the lowest E_tot?
  NaTcB2O6